A relaxed HoErCdRu crystal. Source: Alexandria, functional PBE.

## Properties
The calculation puts the total energy at -20.59 eV/f.u. The energy above the most stable polymorph in this dataset comes out at 0.49 eV/f.u.

Cell and atoms, written as CIF:
```
data_HoErCdRu
_symmetry_space_group_name_H-M 'F -4 3 m'
_symmetry_Int_Tables_number 216
_symmetry_space_group_name_Hall 'F -4 2 3'
_cell_length_a 7.068
_cell_length_b 7.068
_cell_length_c 7.068
_cell_angle_alpha 90.00
_cell_angle_beta 90.00
_cell_angle_gamma 90.00
loop_
_atom_site_label
_atom_site_type_symbol
_atom_site_fract_x
_atom_site_fract_y
_atom_site_fract_z
Ho1 Ho 0.000 0.000 0.000
Er1 Er 0.000 0.000 0.500
Cd1 Cd 0.250 0.250 0.750
Ru1 Ru 0.250 0.250 0.250
```

A relaxed HoErCdRu crystal. Source: Alexandria, functional PBE.

## Properties
The calculation puts the total energy at -21.07 eV/f.u. The energy above the most stable polymorph in this dataset comes out at 0.00 eV/f.u.

Cell and atoms, written as CIF:
```
data_HoErCdRu
_symmetry_space_group_name_H-M 'P 4 m m'
_symmetry_Int_Tables_number 99
_cell_length_a 3.438
_cell_length_b 3.438
_cell_length_c 7.643
_cell_angle_alpha 90.00
_cell_angle_beta 90.00
_cell_angle_gamma 90.00
loop_
_symmetry_equiv_pos_as_xyz
'x,y,z'
'-y,x,z'
'-x,-y,z'
'y,-x,z'
'-x,y,z'
'y,x,z'
'x,-y,z'
'-y,-x,z'
loop_
_atom_site_label
_atom_site_type_symbol
_atom_site_fract_x
_atom_site_fract_y
_atom_site_fract_z
Ho1 Ho 0.000 0.000 0.000
Er1 Er 0.000 0.000 0.570
Cd1 Cd 0.500 0.500 0.287
Ru1 Ru 0.500 0.500 0.784
```

A relaxed HoErScCd crystal. Source: Alexandria, functional PBE.

## Properties
The calculation puts the total energy at -16.54 eV/f.u. The energy above the most stable polymorph in this dataset comes out at 0.37 eV/f.u.

Cell and atoms, written as CIF:
```
data_HoErScCd
_symmetry_space_group_name_H-M 'F -4 3 m'
_symmetry_Int_Tables_number 216
_symmetry_space_group_name_Hall 'F -4 2 3'
_cell_length_a 7.506
_cell_length_b 7.506
_cell_length_c 7.506
_cell_angle_alpha 90.00
_cell_angle_beta 90.00
_cell_angle_gamma 90.00
loop_
_atom_site_label
_atom_site_type_symbol
_atom_site_fract_x
_atom_site_fract_y
_atom_site_fract_z
Ho1 Ho 0.000 0.000 0.000
Er1 Er 0.000 0.000 0.500
Sc1 Sc 0.250 0.250 0.750
Cd1 Cd 0.250 0.250 0.250
```

> Look up the total energy of the first one.

-20.59 eV/f.u.

What did the first record say?
A relaxed HoErCdRu crystal. Source: Alexandria, functional PBE.

## Properties
The calculation puts the total energy at -20.59 eV/f.u. The energy above the most stable polymorph in this dataset comes out at 0.49 eV/f.u.

Cell and atoms, written as CIF:
```
data_HoErCdRu
_symmetry_space_group_name_H-M 'F -4 3 m'
_symmetry_Int_Tables_number 216
_symmetry_space_group_name_Hall 'F -4 2 3'
_cell_length_a 7.068
_cell_length_b 7.068
_cell_length_c 7.068
_cell_angle_alpha 90.00
_cell_angle_beta 90.00
_cell_angle_gamma 90.00
loop_
_atom_site_label
_atom_site_type_symbol
_atom_site_fract_x
_atom_site_fract_y
_atom_site_fract_z
Ho1 Ho 0.000 0.000 0.000
Er1 Er 0.000 0.000 0.500
Cd1 Cd 0.250 0.250 0.750
Ru1 Ru 0.250 0.250 0.250
```

> total energy of number 2 (HoErCdRu)?

-21.07 eV/f.u.